No. 1
# LaTb2Dy5Th

A relaxed LaTb2Dy5Th crystal (PBE, the Alexandria database).

Cell: 5.639 10.350 10.519 Å, 90.00 90.00 105.81°
Sites, in units of the cell vectors:
La  0.585  0.170  0.947
La  0.415  0.830  0.447
Tb  0.887  0.774  0.818
Tb  0.113  0.227  0.732
Tb  0.113  0.226  0.318
Tb  0.887  0.773  0.232
Dy  0.386  0.772  0.025
Dy  0.723  0.446  0.817
Dy  0.479  0.958  0.736
Dy  0.296  0.591  0.709
Dy  0.984  0.967  0.526
Dy  0.614  0.228  0.525
Dy  0.277  0.554  0.317
Dy  0.521  0.042  0.236
Dy  0.704  0.409  0.209
Dy  0.016  0.033  0.026
Th  0.798  0.597  0.515
Th  0.202  0.403  0.015

Computed properties:
E in eV/atom: -4.7891
V in A^3/atom: 32.8
DOS(E_F) in states/eV per cell: 28.89
Density in g/cm³: 8.4

No. 2
# La2Tb5DyTh

A relaxed La2Tb5DyTh crystal (PBE, the Alexandria database).

Cell: 5.656 10.326 10.942 Å, 90.00 90.00 105.89°
Sites, in units of the cell vectors:
La  0.884  0.767  0.817
La  0.115  0.231  0.734
La  0.116  0.233  0.317
La  0.885  0.769  0.234
Tb  0.390  0.781  0.021
Tb  0.719  0.438  0.812
Tb  0.481  0.962  0.738
Tb  0.299  0.598  0.707
Tb  0.985  0.970  0.526
Tb  0.610  0.219  0.521
Tb  0.281  0.562  0.312
Tb  0.519  0.038  0.238
Tb  0.701  0.402  0.207
Tb  0.015  0.030  0.026
Dy  0.798  0.597  0.508
Dy  0.202  0.403  0.008
Th  0.583  0.166  0.960
Th  0.417  0.834  0.460

Computed properties:
E in eV/atom: -4.8420
V in A^3/atom: 34.1
DOS(E_F) in states/eV per cell: 26.82
Density in g/cm³: 7.9

No. 3
# La3Tb2Dy6Th

A relaxed La3Tb2Dy6Th crystal (PBE, the Alexandria database).

Cell: 6.239 6.239 11.875 Å, 95.03 95.03 119.99°
Sites, in units of the cell vectors:
La  0.167  0.833  0.500
La  0.833  0.167  0.500
La  0.500  0.500  0.500
Tb  0.333  0.667  0.000
Tb  0.667  0.333  0.000
Dy  0.918  0.588  0.756
Dy  0.751  0.751  0.245
Dy  0.082  0.412  0.244
Dy  0.588  0.918  0.756
Dy  0.249  0.249  0.755
Dy  0.412  0.082  0.244
Th  0.000  0.000  0.000

Computed properties:
E in eV/atom: -4.9018
V in A^3/atom: 32.8
DOS(E_F) in states/eV per cell: 15.64
Density in g/cm³: 8.2

No. 4
# La5Tb2DyTh

A relaxed La5Tb2DyTh crystal (PBE, the Alexandria database).

Cell: 5.518 11.246 10.680 Å, 90.00 90.00 104.20°
Sites, in units of the cell vectors:
La  0.372  0.744  0.008
La  0.723  0.447  0.816
La  0.500  0.000  0.758
La  0.277  0.553  0.701
La  0.001  0.002  0.508
La  0.628  0.256  0.508
La  0.277  0.553  0.316
La  0.500  0.000  0.258
La  0.723  0.447  0.201
La  0.999  0.998  0.008
Tb  0.888  0.776  0.752
Tb  0.112  0.224  0.764
Tb  0.112  0.224  0.252
Tb  0.888  0.776  0.264
Dy  0.602  0.205  0.008
Dy  0.398  0.795  0.508
Th  0.788  0.577  0.508
Th  0.212  0.423  0.008

Computed properties:
E in eV/atom: -4.9752
V in A^3/atom: 35.7
DOS(E_F) in states/eV per cell: 26.08
Density in g/cm³: 7.3

No. 5
# LaTb4Dy2Th

A relaxed LaTb4Dy2Th crystal (PBE, the Alexandria database).

Cell: 5.087 5.075 11.308 Å, 63.37 90.00 90.00°
Sites, in units of the cell vectors:
La  0.500  0.500  0.000
Tb  0.000  0.756  0.744
Tb  0.000  0.244  0.256
Tb  0.500  0.743  0.257
Tb  0.500  0.257  0.743
Dy  0.000  0.000  0.000
Dy  0.500  0.000  0.500
Th  0.000  0.500  0.500

Computed properties:
E in eV/atom: -4.9713
V in A^3/atom: 32.6
DOS(E_F) in states/eV per cell: 11.78
Density in g/cm³: 8.5

No. 6
# LaTb6Dy3Th2

A relaxed LaTb6Dy3Th2 crystal (PBE, the Alexandria database).

Cell: 6.204 6.204 11.797 Å, 95.05 95.05 119.96°
Sites, in units of the cell vectors:
La  0.000  0.000  0.000
Tb  0.916  0.578  0.751
Tb  0.745  0.745  0.249
Tb  0.084  0.422  0.249
Tb  0.578  0.916  0.751
Tb  0.255  0.255  0.751
Tb  0.422  0.084  0.249
Dy  0.167  0.833  0.500
Dy  0.833  0.167  0.500
Dy  0.500  0.500  0.500
Th  0.333  0.667  0.000
Th  0.667  0.333  0.000

Computed properties:
E in eV/atom: -5.0826
V in A^3/atom: 32.3
DOS(E_F) in states/eV per cell: 17.38
Density in g/cm³: 8.8

Which of these has the highest V? La5Tb2DyTh